# 1
# GGA-PBE CaMg12Ag6, relaxed
# E = -2.1061 eV per atom
# Total magnetization = 0.00 μB per cell
data_CaMg12Ag6
_cell_length_a 12.6020
_cell_length_b 12.6020
_cell_length_c 9.4095
_cell_angle_alpha 90.00
_cell_angle_beta 90.00
_cell_angle_gamma 120.00
_symmetry_space_group_name_H-M 'R -3 m'
_symmetry_Int_Tables_number 166
_symmetry_space_group_name_Hall '-R 3 2"'
loop_
_atom_site_label
_atom_site_fract_x
_atom_site_fract_y
_atom_site_fract_z
Ca1 0.0000 0.0000 0.0000
Mg1 0.0000 0.3816 0.5000
Mg2 0.0858 0.1716 0.3262
Ag1 0.0431 0.5216 0.2536

***

# 2
# GGA-PBE Hf3PdRh2, relaxed
# E = -9.0810 eV per atom
# Total magnetization = 0.00 μB per cell
# E above lowest polymorph = 0.0 meV per atom
data_Hf3PdRh2
_cell_length_a 3.261
_cell_length_b 3.261
_cell_length_c 10.020
_cell_angle_alpha 90.00
_cell_angle_beta 90.00
_cell_angle_gamma 90.00
_symmetry_space_group_name_H-M 'P 4/m m m'
_symmetry_Int_Tables_number 123
_symmetry_space_group_name_Hall '-P 4 2'
loop_
_atom_site_label
_atom_site_fract_x
_atom_site_fract_y
_atom_site_fract_z
Hf1 0.000 0.000 0.000
Hf2 0.000 0.000 0.327
Pd1 0.500 0.500 0.500
Rh1 0.500 0.500 0.163

***

# 3
# GGA-PBE SrCd2Cu, relaxed
# E = -1.9553 eV per atom
# Total magnetization = 0.00 μB per cell
data_SrCd2Cu
_cell_length_a 3.468
_cell_length_b 3.468
_cell_length_c 7.908
_cell_angle_alpha 90.00
_cell_angle_beta 90.00
_cell_angle_gamma 90.00
_symmetry_space_group_name_H-M 'P 4/m m m'
_symmetry_Int_Tables_number 123
_symmetry_space_group_name_Hall '-P 4 2'
loop_
_atom_site_label
_atom_site_fract_x
_atom_site_fract_y
_atom_site_fract_z
Sr1 0.000 0.000 0.000
Cd1 0.500 0.500 0.312
Cu1 0.000 0.000 0.500

***

# 4
# GGA-PBE LiPr2C2N6, relaxed
# Formation energy without anion corrections = -0.2854 eV/atom
# E = -7.5466 eV per atom
# Total magnetization = 1.01 μB per cell
data_LiPr2C2N6
_cell_length_a 5.856
_cell_length_b 5.858
_cell_length_c 6.372
_cell_angle_alpha 66.16
_cell_angle_beta 66.25
_cell_angle_gamma 71.84
_symmetry_space_group_name_H-M 'P -1'
_symmetry_Int_Tables_number 2
loop_
_symmetry_equiv_pos_as_xyz
'x,y,z'
'-x,-y,-z'
loop_
_atom_site_label
_atom_site_fract_x
_atom_site_fract_y
_atom_site_fract_z
Li1 0.000 0.000 0.000
Pr1 0.328 0.329 0.312
C1 0.285 0.285 0.790
N1 0.066 0.386 0.738
N2 0.389 0.067 0.737
N3 0.389 0.389 0.874

***

# 5
# GGA-PBE MnCdGe2, relaxed
# E = -4.7161 eV per atom
# Total magnetization = 3.55 μB per cell
data_MnCdGe2
_cell_length_a 3.0435
_cell_length_b 3.0435
_cell_length_c 26.4137
_cell_angle_alpha 90.00
_cell_angle_beta 90.00
_cell_angle_gamma 120.00
_symmetry_space_group_name_H-M 'R -3 m'
_symmetry_Int_Tables_number 166
_symmetry_space_group_name_Hall '-R 3 2"'
loop_
_atom_site_label
_atom_site_fract_x
_atom_site_fract_y
_atom_site_fract_z
Mn1 0.0000 0.0000 0.0000
Cd1 0.0000 0.0000 0.5000
Ge1 0.0000 0.0000 0.3981

***

# 6
# GGA-PBE YMnNiSb2, relaxed
# Formation energy without anion corrections = 0.0106 eV/atom
# E = -5.9213 eV per atom
# Total magnetization = 4.29 μB per cell
data_YMnNiSb2
_cell_length_a 5.033
_cell_length_b 5.033
_cell_length_c 4.581
_cell_angle_alpha 90.00
_cell_angle_beta 90.00
_cell_angle_gamma 90.00
_symmetry_space_group_name_H-M 'P 4/m m m'
_symmetry_Int_Tables_number 123
_symmetry_space_group_name_Hall '-P 4 2'
loop_
_atom_site_label
_atom_site_fract_x
_atom_site_fract_y
_atom_site_fract_z
Y1 0.000 0.000 0.000
Mn1 0.500 0.500 0.000
Ni1 0.500 0.500 0.500
Sb1 0.000 0.500 0.500

***

# 7
# GGA-PBE ZrTaTc2, relaxed
# E = -9.8790 eV per atom
# Total magnetization = 0.00 μB per cell
data_ZrTaTc2
_cell_length_a 7.179
_cell_length_b 7.179
_cell_length_c 5.676
_cell_angle_alpha 90.00
_cell_angle_beta 90.00
_cell_angle_gamma 90.00
_symmetry_space_group_name_H-M 'I -4 2 d'
_symmetry_Int_Tables_number 122
_symmetry_space_group_name_Hall 'I -4 2bw'
loop_
_atom_site_label
_atom_site_fract_x
_atom_site_fract_y
_atom_site_fract_z
Zr1 0.000 0.000 0.000
Ta1 0.000 0.000 0.500
Tc1 0.236 0.750 0.625

***

# 8
# GGA-PBE PmErAlCd, relaxed
# E = -3.8343 eV per atom
# Total magnetization = 0.00 μB per cell
# E above lowest polymorph = 16.6 meV per atom
data_PmErAlCd
_cell_length_a 7.421
_cell_length_b 7.421
_cell_length_c 7.421
_cell_angle_alpha 90.00
_cell_angle_beta 90.00
_cell_angle_gamma 90.00
_symmetry_space_group_name_H-M 'F -4 3 m'
_symmetry_Int_Tables_number 216
_symmetry_space_group_name_Hall 'F -4 2 3'
loop_
_atom_site_label
_atom_site_fract_x
_atom_site_fract_y
_atom_site_fract_z
Pm1 0.000 0.000 0.000
Er1 0.000 0.000 0.500
Al1 0.250 0.250 0.750
Cd1 0.250 0.250 0.250

***

What did the eighth record say?
# GGA-PBE PmErAlCd, relaxed
# E = -3.8343 eV per atom
# Total magnetization = 0.00 μB per cell
# E above lowest polymorph = 16.6 meV per atom
data_PmErAlCd
_cell_length_a 7.421
_cell_length_b 7.421
_cell_length_c 7.421
_cell_angle_alpha 90.00
_cell_angle_beta 90.00
_cell_angle_gamma 90.00
_symmetry_space_group_name_H-M 'F -4 3 m'
_symmetry_Int_Tables_number 216
_symmetry_space_group_name_Hall 'F -4 2 3'
loop_
_atom_site_label
_atom_site_fract_x
_atom_site_fract_y
_atom_site_fract_z
Pm1 0.000 0.000 0.000
Er1 0.000 0.000 0.500
Al1 0.250 0.250 0.750
Cd1 0.250 0.250 0.250

***

Question: Number 1 is which compound?
Answer: CaMg12Ag6

***

Question: Which value of E does entry 1 give?
Answer: -2.1061 eV per atom

***

Question: Which value of total magnetization does entry 3 give?
Answer: 0.00 μB per cell